## CsTcAg2 (PBE-GGA)

Data for CsTcAg2 after structural relaxation.

a = 7.5222 Å, b = 7.5222 Å, c = 7.5222 Å
α = 90.00°, β = 90.00°, γ = 90.00°
Space group Fm-3m (No. 225)
Inequivalent atoms, fractional coordinates:
Cs (0.0000, 0.0000, 0.0000) x4
Tc (0.0000, 0.0000, 0.5000) x4
Ag (0.2500, 0.2500, 0.2500) x8

Properties
Calculated density: 6.970 g/cm³
Energy above the lowest structure with this stoichiometry: 26.18 kJ/mol of atoms
DFT formation energy: 1.316 eV/atom

---

## AcPm2Ho3 (PBE-GGA)

Data for AcPm2Ho3 after structural relaxation.

a = 12.1436 Å, b = 10.0402 Å, c = 7.0676 Å
α = 90.00°, β = 102.95°, γ = 90.00°
Space group C2/m (No. 12)
Inequivalent atoms, fractional coordinates:
Ac (0.0306, 0.0000, 0.2736) x4
Pm (0.0000, 0.3199, 0.0000) x4
Pm (0.0000, 0.3401, 0.5000) x4
Ho (0.2154, 0.5000, 0.8491) x4
Ho (0.2361, 0.1690, 0.7094) x8

Properties
Calculated density: 8.002 g/cm³
Energy above the lowest structure with this stoichiometry: 0.88 kJ/mol of atoms
DFT formation energy: 0.215 eV/atom

---

## LaRuPb3 (PBE-GGA)

Data for LaRuPb3 after structural relaxation.

a = 5.3045 Å, b = 5.3045 Å, c = 5.3045 Å
α = 90.00°, β = 90.00°, γ = 90.00°
Space group Pm-3m (No. 221)
Inequivalent atoms, fractional coordinates:
La (0.0000, 0.0000, 0.0000) x1
Ru (0.5000, 0.5000, 0.5000) x1
Pb (0.0000, 0.5000, 0.5000) x3

Properties
Calculated density: 9.585 g/cm³
Energy above the lowest structure with this stoichiometry: 0.00 kJ/mol of atoms
DFT formation energy: 0.149 eV/atom

---

## Tb2PmYHo (PBE-GGA)

Data for Tb2PmYHo after structural relaxation.

a = 8.3828 Å, b = 11.5315 Å, c = 7.1993 Å
α = 90.00°, β = 90.00°, γ = 90.00°
Space group Cmcm (No. 63)
Inequivalent atoms, fractional coordinates:
Tb (0.1913, 0.0000, 0.0000) x8
Pm (0.0000, 0.2199, 0.2500) x4
Y (0.0000, 0.2331, 0.7500) x4
Ho (0.0000, 0.4865, 0.2500) x4

Properties
Calculated density: 6.840 g/cm³
DFT formation energy: 0.382 eV/atom

---

## Sm6ZnSn2 (PBE-GGA)

Data for Sm6ZnSn2 after structural relaxation.

a = 5.1894 Å, b = 7.3439 Å, c = 15.5030 Å
α = 90.00°, β = 90.00°, γ = 90.00°
Space group Immm (No. 71)
Inequivalent atoms, fractional coordinates:
Sm (0.0000, 0.2333, 0.0000) x4
Sm (0.0000, 0.2568, 0.3390) x8
Zn (0.0000, 0.5000, 0.5000) x2
Sn (0.0000, 0.5000, 0.1664) x4

Properties
Calculated density: 6.773 g/cm³
DFT formation energy: -0.257 eV/atom

---

## MgAsH (PBE-GGA)

Data for MgAsH after structural relaxation.

a = 3.7690 Å, b = 6.8259 Å, c = 7.0600 Å
α = 90.00°, β = 90.00°, γ = 90.00°
Space group Cmcm (No. 63)
Inequivalent atoms, fractional coordinates:
Mg (0.0000, 0.0000, 0.0000) x4
As (0.0000, 0.3050, 0.2500) x4
H (0.0000, 0.1869, 0.7500) x4

Properties
Calculated density: 3.666 g/cm³
Energy above the lowest structure with this stoichiometry: 13.70 kJ/mol of atoms

---

## Sr2CaO3 (PBE-GGA)

Data for Sr2CaO3 after structural relaxation.

a = 7.1977 Å, b = 10.1758 Å, c = 21.5793 Å
α = 90.00°, β = 90.00°, γ = 90.00°
Space group Fddd (No. 70, origin choice 2)
Inequivalent atoms, fractional coordinates:
Sr (0.1250, 0.1250, 0.0409) x16
Sr (0.1250, 0.1250, 0.3763) x16
Ca (0.1250, 0.1250, 0.5419) x16
O (0.1144, 0.3750, 0.8750) x16
O (0.1199, 0.3695, 0.7108) x32

Properties
Calculated density: 4.426 g/cm³
ΔE_f (raw): -2784 meV per atom

---

## Li2CuNiH4 (PBE-GGA)

Data for Li2CuNiH4 after structural relaxation.

a = 4.6132 Å, b = 2.7671 Å, c = 4.7227 Å
α = 90.00°, β = 107.59°, γ = 90.00°
Space group P2/m (No. 10)
Inequivalent atoms, fractional coordinates:
Li (0.0000, 0.0000, 0.0000) x1
Li (0.5000, 0.5000, 0.0000) x1
Cu (0.0000, 0.5000, 0.5000) x1
Ni (0.5000, 0.0000, 0.5000) x1
H (0.2698, 0.0000, 0.7267) x2
H (0.2764, 0.5000, 0.2960) x2

Properties
Calculated density: 4.050 g/cm³
Energy: -28.3 eV for the cell shown

---

## SrAuSe2 (PBE-GGA)

Data for SrAuSe2 after structural relaxation.

a = 7.2670 Å, b = 7.2670 Å, c = 7.2670 Å
α = 90.00°, β = 90.00°, γ = 90.00°
Space group Fm-3m (No. 225)
Inequivalent atoms, fractional coordinates:
Sr (0.0000, 0.0000, 0.0000) x4
Au (0.0000, 0.0000, 0.5000) x4
Se (0.2500, 0.2500, 0.2500) x8

Properties
Calculated density: 7.659 g/cm³
Energy above the lowest structure with this stoichiometry: 33.36 kJ/mol of atoms
ΔE_f (raw): -617 meV per atom

---

## LiAu2Br (PBE-GGA)

Data for LiAu2Br after structural relaxation.

a = 3.7780 Å, b = 3.7780 Å, c = 26.9964 Å
α = 90.00°, β = 90.00°, γ = 90.00°
Space group I-42d (No. 122)
Inequivalent atoms, fractional coordinates:
Li (0.0000, 0.0000, 0.0000) x4
Au (0.2493, 0.2500, 0.1250) x8
Br (0.0000, 0.0000, 0.5000) x4

Properties
Calculated density: 8.288 g/cm³
Energy above the lowest structure with this stoichiometry: 3.11 kJ/mol of atoms
ΔE_f (raw): -430 meV per atom

---

## KLaZr2 (PBE-GGA)

Data for KLaZr2 after structural relaxation.

a = 5.9715 Å, b = 3.2631 Å, c = 6.3999 Å
α = 90.00°, β = 110.45°, γ = 90.00°
Space group P2/m (No. 10)
Inequivalent atoms, fractional coordinates:
K (0.0000, 0.0000, 0.0000) x1
La (0.5000, 0.5000, 0.0000) x1
Zr (0.0000, 0.5000, 0.5000) x1
Zr (0.5000, 0.0000, 0.5000) x1

Properties
Calculated density: 5.123 g/cm³
Energy above the lowest structure with this stoichiometry: 39.73 kJ/mol of atoms
DFT formation energy: 0.735 eV/atom

---

## Zr2UGa (PBE-GGA)

Data for Zr2UGa after structural relaxation.

a = 6.9653 Å, b = 6.9653 Å, c = 6.9653 Å
α = 90.00°, β = 90.00°, γ = 90.00°
Space group Fm-3m (No. 225)
Inequivalent atoms, fractional coordinates:
Zr (0.2500, 0.2500, 0.2500) x8
U (0.0000, 0.0000, 0.0000) x4
Ga (0.0000, 0.0000, 0.5000) x4

Properties
Calculated density: 9.635 g/cm³
Energy above the lowest structure with this stoichiometry: 17.75 kJ/mol of atoms
DFT formation energy: 0.078 eV/atom